1.
Here is a relaxed BaNaLa crystal from Alexandria via LeMat-Bulk. Energies are from PBE-GGA.

a = 3.8728 Å, b = 3.8728 Å, c = 9.2989 Å
α = 102.02°, β = 102.02°, γ = 90.00°
With the nearest neighbours (Å) after each atom.
Sites, in units of the cell vectors:
Ba 0.3337 0.3337 0.6674  4 Ba 3.87, 4 La 4.12, 4 Na 4.14
La 0.0070 0.0070 0.0140  4 Na 3.85, 4 La 3.87, 4 Ba 4.12
Na 0.6593 0.6593 0.3186  4 La 3.85, 4 Na 3.87, 4 Ba 4.14

## Properties
Energy relative to the elements (eV/atom): 0.197
Offset from the most stable computed form (eV/atom): 0.1293
Space group: I4mm, No. 107


2.
Here is a relaxed LiDy2Ge4Ir3 crystal from Alexandria via LeMat-Bulk. Energies are from PBE-GGA.

a = 4.2436 Å, b = 4.2436 Å, c = 10.0981 Å
α = 90.00°, β = 90.00°, γ = 90.00°
With the nearest neighbours (Å) after each atom.
Sites, in units of the cell vectors:
Ir 0.0000 0.0000 0.5000  4 Ge 2.50
Ir 0.0000 0.5000 0.1289  5 Ge 2.43-2.49
Ir 0.5000 0.0000 0.8711  5 Ge 2.43-2.49
Ge 0.0000 0.0000 0.0000  4 Ir 2.49
Ge 0.0000 0.5000 0.3693  3 Ir 2.43-2.50, 2 Li 2.50
Ge 0.5000 0.5000 0.0000  4 Ir 2.49
Ge 0.5000 0.0000 0.6307  3 Ir 2.43-2.50, 2 Li 2.50
Li 0.5000 0.5000 0.5000  4 Ge 2.50
Dy 0.0000 0.5000 0.7566  6 Ir 3.22-3.35, 8 Ge 3.25-3.26, 2 Li 3.35
Dy 0.5000 0.0000 0.2434  6 Ir 3.22-3.35, 8 Ge 3.25-3.26, 2 Li 3.35

## Properties
Energy relative to the elements (eV/atom): -0.702
Space group: P-4m2, No. 115


3.
Here is a relaxed Tb8Si3Te3Se crystal from Alexandria via LeMat-Bulk. Energies are from PBE-GGA.

a = 8.3924 Å, b = 8.3928 Å, c = 8.5032 Å
α = 119.57°, β = 90.00°, γ = 120.00°
With the nearest neighbours (Å) after each atom.
Sites, in units of the cell vectors:
Te 0.0000 0.5000 0.0000  6 Tb 3.11-3.13
Te 0.5000 0.5000 0.0000  6 Tb 3.11-3.13
Te 0.0000 0.0000 0.0000  6 Tb 3.11-3.12
Tb 0.7403 0.4807 0.7206  3 Si 2.87, 3 Te 3.11
Tb 0.7511 0.5021 0.2741  2 Si 2.85, 1 Se 2.98, 2 Te 3.13
Tb 0.7513 0.0227 0.2735  2 Si 2.85-2.86, 1 Se 2.98, 2 Te 3.12-3.13
Tb 0.2489 0.4979 0.7259  2 Si 2.85, 1 Se 2.98, 2 Te 3.13
Tb 0.2487 0.9773 0.7265  2 Si 2.85-2.86, 1 Se 2.98, 2 Te 3.12-3.13
Tb 0.7286 0.9773 0.7265  2 Si 2.85-2.86, 1 Se 2.98, 2 Te 3.12-3.13
Tb 0.2714 0.0227 0.2735  2 Si 2.85-2.86, 1 Se 2.98, 2 Te 3.12-3.13
Tb 0.2597 0.5193 0.2794  3 Si 2.87, 3 Te 3.11
Si 0.5000 0.0000 0.5000  6 Tb 2.86-2.87
Si 0.0000 0.5000 0.5000  6 Tb 2.85-2.87
Si 0.5000 0.5000 0.5000  6 Tb 2.85-2.87
Se 0.0000 0.0000 0.5000  6 Tb 2.98

## Properties
Formation energy without anion corrections (eV per atom): -1.1043
Space group: R-3m, No. 166


4.
Here is a relaxed CuTcGePt crystal from Alexandria via LeMat-Bulk. Energies are from PBE-GGA.

a = 4.3045 Å, b = 4.3045 Å, c = 4.3045 Å
α = 60.00°, β = 60.00°, γ = 60.00°
With the nearest neighbours (Å) after each atom.
Sites, in units of the cell vectors:
Cu 0.7500 0.7500 0.7500  4 Tc 2.64, 4 Pt 2.64
Ge 0.2500 0.2500 0.2500  4 Tc 2.64, 4 Pt 2.64
Pt 0.5000 0.5000 0.5000  4 Ge 2.64, 4 Cu 2.64
Tc 0.0000 0.0000 0.0000  4 Ge 2.64, 4 Cu 2.64

## Properties
Energy relative to the elements (eV/atom): -0.083
Space group: F-43m, No. 216


5.
Here is a relaxed BaScMo2 crystal from Alexandria via LeMat-Bulk. Energies are from PBE-GGA.

a = 2.9059 Å, b = 2.9059 Å, c = 10.4530 Å
α = 90.00°, β = 90.00°, γ = 90.00°
With the nearest neighbours (Å) after each atom.
Sites, in units of the cell vectors:
Ba 0.5000 0.5000 0.7500  4 Ba 2.91
Mo 0.0000 0.0000 0.0347  4 Mo 2.91, 4 Sc 3.05
Mo 0.0000 0.0000 0.4653  4 Mo 2.91, 4 Sc 3.05
Sc 0.5000 0.5000 0.2500  4 Sc 2.91, 8 Mo 3.05

## Properties
Energy relative to the elements (eV/atom): 0.878
Offset from the most stable computed form (eV/atom): 0.4921
Space group: P4/mmm, No. 123


6.
Here is a relaxed Sc3CoRh2 crystal from Alexandria via LeMat-Bulk. Energies are from PBE-GGA.

a = 3.1879 Å, b = 3.1879 Å, c = 9.6249 Å
α = 90.00°, β = 90.00°, γ = 90.00°
With the nearest neighbours (Å) after each atom.
Sites, in units of the cell vectors:
Sc 0.0000 0.0000 0.3409  4 Co 2.73, 4 Rh 2.80
Sc 0.0000 0.0000 0.6591  4 Co 2.73, 4 Rh 2.80
Sc 0.0000 0.0000 0.0000  8 Rh 2.78
Rh 0.5000 0.5000 0.1690  8 Sc 2.78-2.80
Rh 0.5000 0.5000 0.8310  8 Sc 2.78-2.80
Co 0.5000 0.5000 0.5000  8 Sc 2.73

## Properties
Energy relative to the elements (eV/atom): -0.802
Offset from the most stable computed form (eV/atom): 0.0000
Space group: P4/mmm, No. 123